A relaxed structure of KTi2Pt2, computed with PBE.

Values from the calculation:
For the offset from the most stable computed form, the calculation gives 11 meV per atom.

Cell and atoms, written as CIF:
```
data_KTi2Pt2
_chemical_formula_sum 'K2 Ti4 Pt4'
_symmetry_space_group_name_H-M 'P 1'
_symmetry_Int_Tables_number 1
_symmetry_space_group_name_Hall 'P 1'
_cell_length_a 8.177
_cell_length_b 8.177
_cell_length_c 2.784
_cell_angle_alpha 90.00
_cell_angle_beta 90.00
_cell_angle_gamma 90.00
loop_
_atom_site_label
_atom_site_fract_x
_atom_site_fract_y
_atom_site_fract_z
_atom_site_occupancy
K1 0.000 0.000 0.000 1
K2 0.500 0.500 0.000 1
Ti1 0.123 0.377 0.000 1
Ti2 0.377 0.877 0.000 1
Ti3 0.623 0.123 0.000 1
Ti4 0.877 0.623 0.000 1
Pt1 0.166 0.666 0.500 1
Pt2 0.334 0.166 0.500 1
Pt3 0.666 0.834 0.500 1
Pt4 0.834 0.334 0.500 1
```

=====

A relaxed structure of KTl3Pt2, computed with PBE.

Values from the calculation:
For the offset from the most stable computed form, the calculation gives 0 meV per atom.

Cell and atoms, written as CIF:
```
data_KTl3Pt2
_chemical_formula_sum 'K2 Tl6 Pt4'
_symmetry_space_group_name_H-M 'P 1'
_symmetry_Int_Tables_number 1
_symmetry_space_group_name_Hall 'P 1'
_cell_length_a 8.315
_cell_length_b 8.315
_cell_length_c 5.714
_cell_angle_alpha 90.00
_cell_angle_beta 90.00
_cell_angle_gamma 54.26
loop_
_atom_site_label
_atom_site_fract_x
_atom_site_fract_y
_atom_site_fract_z
_atom_site_occupancy
K1 0.156 0.844 0.750 1
K2 0.844 0.156 0.250 1
Tl1 0.036 0.354 0.750 1
Tl2 0.354 0.036 0.250 1
Tl3 0.380 0.620 0.250 1
Tl4 0.620 0.380 0.750 1
Tl5 0.646 0.964 0.750 1
Tl6 0.964 0.646 0.250 1
Pt1 0.342 0.342 0.000 1
Pt2 0.342 0.342 0.500 1
Pt3 0.658 0.658 0.000 1
Pt4 0.658 0.658 0.500 1
```

=====

A relaxed structure of KTl2Pt2, computed with PBE.

Values from the calculation:
For the offset from the most stable computed form, the calculation gives 94 meV per atom.

Cell and atoms, written as CIF:
```
data_KTl2Pt2
_chemical_formula_sum 'K2 Tl4 Pt4'
_symmetry_space_group_name_H-M 'P 1'
_symmetry_Int_Tables_number 1
_symmetry_space_group_name_Hall 'P 1'
_cell_length_a 8.696
_cell_length_b 8.696
_cell_length_c 3.001
_cell_angle_alpha 90.00
_cell_angle_beta 90.00
_cell_angle_gamma 90.00
loop_
_atom_site_label
_atom_site_fract_x
_atom_site_fract_y
_atom_site_fract_z
_atom_site_occupancy
K1 0.000 0.000 0.000 1
K2 0.500 0.500 0.000 1
Tl1 0.138 0.362 0.500 1
Tl2 0.362 0.862 0.500 1
Tl3 0.638 0.138 0.500 1
Tl4 0.862 0.638 0.500 1
Pt1 0.159 0.659 0.000 1
Pt2 0.341 0.159 0.000 1
Pt3 0.659 0.841 0.000 1
Pt4 0.841 0.341 0.000 1
```

=====

A relaxed structure of KTl3Pt, computed with PBE.

Values from the calculation:
For the offset from the most stable computed form, the calculation gives 0 meV per atom.

Cell and atoms, written as CIF:
```
data_KTl3Pt
_chemical_formula_sum 'K4 Tl12 Pt4'
_symmetry_space_group_name_H-M 'P 1'
_symmetry_Int_Tables_number 1
_symmetry_space_group_name_Hall 'P 1'
_cell_length_a 9.275
_cell_length_b 4.878
_cell_length_c 12.801
_cell_angle_alpha 90.00
_cell_angle_beta 90.00
_cell_angle_gamma 90.00
loop_
_atom_site_label
_atom_site_fract_x
_atom_site_fract_y
_atom_site_fract_z
_atom_site_occupancy
K1 0.189 0.250 0.003 1
K2 0.311 0.750 0.503 1
K3 0.689 0.250 0.497 1
K4 0.811 0.750 0.997 1
Tl1 0.062 0.250 0.580 1
Tl2 0.124 0.750 0.800 1
Tl3 0.137 0.750 0.212 1
Tl4 0.363 0.250 0.712 1
Tl5 0.376 0.250 0.300 1
Tl6 0.438 0.750 0.080 1
Tl7 0.562 0.250 0.920 1
Tl8 0.624 0.750 0.700 1
Tl9 0.637 0.750 0.288 1
Tl10 0.863 0.250 0.788 1
Tl11 0.876 0.250 0.200 1
Tl12 0.938 0.750 0.420 1
Pt1 0.086 0.250 0.356 1
Pt2 0.414 0.750 0.856 1
Pt3 0.586 0.250 0.144 1
Pt4 0.914 0.750 0.644 1
```

=====

A relaxed structure of KTl2Pt, computed with PBE.

Cell and atoms, written as CIF:
```
data_KTl2Pt
_chemical_formula_sum 'K2 Tl4 Pt2'
_symmetry_space_group_name_H-M 'P 1'
_symmetry_Int_Tables_number 1
_symmetry_space_group_name_Hall 'P 1'
_cell_length_a 5.076
_cell_length_b 5.076
_cell_length_c 8.240
_cell_angle_alpha 90.00
_cell_angle_beta 90.00
_cell_angle_gamma 90.00
loop_
_atom_site_label
_atom_site_fract_x
_atom_site_fract_y
_atom_site_fract_z
_atom_site_occupancy
K1 0.000 0.000 0.000 1
K2 0.500 0.500 0.500 1
Tl1 0.000 0.000 0.500 1
Tl2 0.000 0.500 0.250 1
Tl3 0.500 0.000 0.750 1
Tl4 0.500 0.500 0.000 1
Pt1 0.000 0.500 0.750 1
Pt2 0.500 0.000 0.250 1
```

=====

A relaxed structure of KTlPt2, computed with PBE.

Cell and atoms, written as CIF:
```
data_KTlPt2
_chemical_formula_sum 'K2 Tl2 Pt4'
_symmetry_space_group_name_H-M 'P 1'
_symmetry_Int_Tables_number 1
_symmetry_space_group_name_Hall 'P 1'
_cell_length_a 2.911
_cell_length_b 5.371
_cell_length_c 11.396
_cell_angle_alpha 90.00
_cell_angle_beta 90.00
_cell_angle_gamma 90.00
loop_
_atom_site_label
_atom_site_fract_x
_atom_site_fract_y
_atom_site_fract_z
_atom_site_occupancy
K1 0.000 0.000 0.000 1
K2 0.500 0.500 0.500 1
Tl1 0.000 0.500 0.204 1
Tl2 0.500 0.000 0.704 1
Pt1 0.000 0.000 0.485 1
Pt2 0.000 0.500 0.785 1
Pt3 0.500 0.000 0.285 1
Pt4 0.500 0.500 0.985 1
```

=====

A relaxed structure of KTl3Pt2, computed with PBE.

Values from the calculation:
For the offset from the most stable computed form, the calculation gives 20 meV per atom.

Cell and atoms, written as CIF:
```
data_KTl3Pt2
_chemical_formula_sum 'K2 Tl6 Pt4'
_symmetry_space_group_name_H-M 'P 1'
_symmetry_Int_Tables_number 1
_symmetry_space_group_name_Hall 'P 1'
_cell_length_a 8.667
_cell_length_b 8.667
_cell_length_c 12.425
_cell_angle_alpha 126.72
_cell_angle_beta 126.72
_cell_angle_gamma 26.63
loop_
_atom_site_label
_atom_site_fract_x
_atom_site_fract_y
_atom_site_fract_z
_atom_site_occupancy
K1 0.124 0.124 0.212 1
K2 0.876 0.876 0.788 1
Tl1 0.167 0.167 0.713 1
Tl2 0.406 0.406 0.064 1
Tl3 0.439 0.439 0.581 1
Tl4 0.561 0.561 0.419 1
Tl5 0.594 0.594 0.936 1
Tl6 0.833 0.833 0.287 1
Pt1 0.210 0.210 0.524 1
Pt2 0.247 0.247 0.080 1
Pt3 0.753 0.753 0.920 1
Pt4 0.790 0.790 0.476 1
```

=====

A relaxed structure of K2Tl4Pt3, computed with PBE.

Cell and atoms, written as CIF:
```
data_K2Tl4Pt3
_chemical_formula_sum 'K4 Tl8 Pt6'
_symmetry_space_group_name_H-M 'P 1'
_symmetry_Int_Tables_number 1
_symmetry_space_group_name_Hall 'P 1'
_cell_length_a 9.076
_cell_length_b 9.076
_cell_length_c 8.716
_cell_angle_alpha 90.00
_cell_angle_beta 90.00
_cell_angle_gamma 140.82
loop_
_atom_site_label
_atom_site_fract_x
_atom_site_fract_y
_atom_site_fract_z
_atom_site_occupancy
K1 0.109 0.891 0.889 1
K2 0.391 0.609 0.389 1
K3 0.609 0.391 0.611 1
K4 0.891 0.109 0.111 1
Tl1 0.188 0.312 0.750 1
Tl2 0.189 0.811 0.520 1
Tl3 0.311 0.689 0.020 1
Tl4 0.312 0.188 0.250 1
Tl5 0.688 0.812 0.750 1
Tl6 0.689 0.311 0.980 1
Tl7 0.811 0.189 0.480 1
Tl8 0.812 0.688 0.250 1
Pt1 0.000 0.000 0.500 1
Pt2 0.024 0.476 0.750 1
Pt3 0.476 0.024 0.250 1
Pt4 0.500 0.500 0.000 1
Pt5 0.524 0.976 0.750 1
Pt6 0.976 0.524 0.250 1
```

=====

A relaxed structure of KTl2Pt, computed with PBE.

Cell and atoms, written as CIF:
```
data_KTl2Pt
_chemical_formula_sum 'K2 Tl4 Pt2'
_symmetry_space_group_name_H-M 'P 1'
_symmetry_Int_Tables_number 1
_symmetry_space_group_name_Hall 'P 1'
_cell_length_a 3.463
_cell_length_b 5.928
_cell_length_c 11.283
_cell_angle_alpha 90.00
_cell_angle_beta 90.00
_cell_angle_gamma 90.00
loop_
_atom_site_label
_atom_site_fract_x
_atom_site_fract_y
_atom_site_fract_z
_atom_site_occupancy
K1 0.000 0.000 0.000 1
K2 0.500 0.500 0.500 1
Tl1 0.000 0.500 0.198 1
Tl2 0.000 0.500 0.802 1
Tl3 0.500 0.000 0.302 1
Tl4 0.500 0.000 0.698 1
Pt1 0.000 0.000 0.500 1
Pt2 0.500 0.500 0.000 1
```

=====

A relaxed structure of K3Tl2Pt, computed with PBE.

Cell and atoms, written as CIF:
```
data_K3Tl2Pt
_chemical_formula_sum 'K6 Tl4 Pt2'
_symmetry_space_group_name_H-M 'P 1'
_symmetry_Int_Tables_number 1
_symmetry_space_group_name_Hall 'P 1'
_cell_length_a 7.874
_cell_length_b 7.874
_cell_length_c 7.126
_cell_angle_alpha 90.00
_cell_angle_beta 90.00
_cell_angle_gamma 100.04
loop_
_atom_site_label
_atom_site_fract_x
_atom_site_fract_y
_atom_site_fract_z
_atom_site_occupancy
K1 0.048 0.587 0.250 1
K2 0.099 0.901 0.750 1
K3 0.413 0.952 0.250 1
K4 0.587 0.048 0.750 1
K5 0.901 0.099 0.250 1
K6 0.952 0.413 0.750 1
Tl1 0.331 0.331 0.000 1
Tl2 0.331 0.331 0.500 1
Tl3 0.669 0.669 0.000 1
Tl4 0.669 0.669 0.500 1
Pt1 0.385 0.615 0.750 1
Pt2 0.615 0.385 0.250 1
```

=====

A relaxed structure of KTlPt2, computed with PBE.

Cell and atoms, written as CIF:
```
data_KTlPt2
_chemical_formula_sum 'K2 Tl2 Pt4'
_symmetry_space_group_name_H-M 'P 1'
_symmetry_Int_Tables_number 1
_symmetry_space_group_name_Hall 'P 1'
_cell_length_a 6.371
_cell_length_b 8.681
_cell_length_c 2.994
_cell_angle_alpha 90.00
_cell_angle_beta 90.33
_cell_angle_gamma 90.00
loop_
_atom_site_label
_atom_site_fract_x
_atom_site_fract_y
_atom_site_fract_z
_atom_site_occupancy
K1 0.000 0.000 0.000 1
K2 0.500 0.500 0.000 1
Tl1 0.000 0.500 0.000 1
Tl2 0.500 0.000 0.000 1
Pt1 0.250 0.250 0.500 1
Pt2 0.250 0.750 0.500 1
Pt3 0.750 0.250 0.500 1
Pt4 0.750 0.750 0.500 1
```

=====

A relaxed structure of KTlPt, computed with PBE.

Cell and atoms, written as CIF:
```
data_KTlPt
_chemical_formula_sum 'K4 Tl4 Pt4'
_symmetry_space_group_name_H-M 'P 1'
_symmetry_Int_Tables_number 1
_symmetry_space_group_name_Hall 'P 1'
_cell_length_a 5.861
_cell_length_b 6.260
_cell_length_c 8.273
_cell_angle_alpha 90.00
_cell_angle_beta 90.00
_cell_angle_gamma 90.00
loop_
_atom_site_label
_atom_site_fract_x
_atom_site_fract_y
_atom_site_fract_z
_atom_site_occupancy
K1 0.000 0.250 0.116 1
K2 0.000 0.750 0.884 1
K3 0.500 0.250 0.384 1
K4 0.500 0.750 0.616 1
Tl1 0.000 0.000 0.500 1
Tl2 0.000 0.500 0.500 1
Tl3 0.500 0.000 0.000 1
Tl4 0.500 0.500 0.000 1
Pt1 0.250 0.250 0.750 1
Pt2 0.250 0.750 0.250 1
Pt3 0.750 0.250 0.750 1
Pt4 0.750 0.750 0.250 1
```

=====

Number 1: E_form -201 kJ/mol of formula units, spin magnetization 0.00 μB per formula unit. Number 2: E_form -63 kJ/mol of formula units, spin magnetization 0.00 μB per formula unit. Number 3: E_form -35 kJ/mol of formula units, spin magnetization 0.00 μB per formula unit. Number 4: E_form -69 kJ/mol of formula units, spin magnetization 0.00 μB per formula unit. Number 5: E_form 41 kJ/mol of formula units, spin magnetization 0.00 μB per formula unit. Number 6: E_form 21 kJ/mol of formula units, spin magnetization 0.00 μB per formula unit. Number 7: E_form -52 kJ/mol of formula units, spin magnetization 0.00 μB per formula unit. Number 8: E_form -123 kJ/mol of formula units, spin magnetization 0.00 μB per formula unit. Number 9: E_form -40 kJ/mol of formula units, spin magnetization 0.00 μB per formula unit. Number 10: E_form -47 kJ/mol of formula units, spin magnetization 0.00 μB per formula unit. Number 11: E_form 85 kJ/mol of formula units, spin magnetization 0.00 μB per formula unit. Number 12: E_form -28 kJ/mol of formula units, spin magnetization 0.00 μB per formula unit.